Arrangement a

A geometry-optimized TlReIr2 structure, computed with PBE.

Computed properties:
The crystal system is tetragonal. For the density of states at the Fermi level, the calculation gives 1.0529 states/eV per atom. As for the total magnetic moment: 0.00 μB/cell.

Unit cell a=4.928 b=4.928 c=4.928 alpha=131.83 beta=131.83 gamma=70.50
Positions (direct):
Ir (0.000, 0.000, 0.000)
Ir (0.250, 0.750, 0.500)
Tl (0.750, 0.250, 0.500)
Re (0.500, 0.500, 0.000)

---

Arrangement b

A geometry-optimized TlReIr2 structure, computed with PBE.

Computed properties:
The crystal system is tetragonal. For the density of states at the Fermi level, the calculation gives 0.7430 states/eV per atom. As for the total magnetic moment: 0.00 μB/cell.

Unit cell a=7.345 b=7.345 c=5.890 alpha=51.43 beta=51.43 gamma=90.00
Positions (direct):
Re (0.500, 0.500, 0.000)
Re (0.250, 0.750, 0.500)
Tl (0.000, 0.000, 0.000)
Tl (0.750, 0.250, 0.500)
Ir (0.375, 0.418, 0.750)
Ir (0.168, 0.625, 0.250)
Ir (0.582, 0.125, 0.250)
Ir (0.875, 0.832, 0.750)

---

It is arrangement a that is the most stable of them.

---

Arrangement a

A geometry-optimized TlReIr structure, computed with PBE.

Computed properties:
The crystal system is tetragonal. For the density of states at the Fermi level, the calculation gives 1.3969 states/eV per atom. As for the total magnetic moment: 0.00 μB/cell.

Unit cell a=6.517 b=6.517 c=2.925 alpha=77.03 beta=77.03 gamma=25.94
Positions (direct):
Ir (0.980, 0.980, 0.020)
Tl (0.668, 0.668, 0.332)
Re (0.352, 0.352, 0.648)

---

Arrangement b

A geometry-optimized TlReIr structure, computed with PBE.

Computed properties:
The crystal system is cubic. For the density of states at the Fermi level, the calculation gives 1.2330 states/eV per atom. As for the total magnetic moment: 0.01 μB/cell.

Unit cell a=4.373 b=4.373 c=4.373 alpha=60.00 beta=60.00 gamma=60.00
Positions (direct):
Tl (0.500, 0.500, 0.500)
Ir (0.250, 0.250, 0.250)
Re (0.000, 0.000, 0.000)

---

It is arrangement a that is the most stable of them.

---

Arrangement a

A geometry-optimized VRe2Ir structure, computed with PBE.

Computed properties:
The crystal system is tetragonal. For the density of states at the Fermi level, the calculation gives 0.9144 states/eV per atom. As for the total magnetic moment: 0.00 μB/cell.

Unit cell a=3.912 b=3.848 c=3.848 alpha=90.00 beta=90.00 gamma=90.00
Positions (direct):
Re (0.000, 0.500, 0.000)
Re (0.000, 0.000, 0.500)
Ir (0.500, 0.500, 0.500)
V (0.500, 0.000, 0.000)

---

Arrangement b

A geometry-optimized VRe2Ir structure, computed with PBE.

Computed properties:
The crystal system is cubic. For the density of states at the Fermi level, the calculation gives 1.8594 states/eV per atom. As for the total magnetic moment: 0.72 μB/cell.

Unit cell a=4.361 b=4.361 c=4.361 alpha=60.00 beta=60.00 gamma=60.00
Site moments in Bohr magnetons follow the coordinates.
Positions (direct):
Re (0.250, 0.250, 0.250)  0.17
Re (0.750, 0.750, 0.750)  0.17
V (0.000, 0.000, 0.000)  0.02
Ir (0.500, 0.500, 0.500)  0.32

---

Arrangement c

A geometry-optimized VRe2Ir structure, computed with PBE.

Computed properties:
The crystal system is tetragonal. For the density of states at the Fermi level, the calculation gives 1.2258 states/eV per atom. As for the total magnetic moment: 1.73 μB/cell.

Unit cell a=3.739 b=3.739 c=9.555 alpha=78.72 beta=78.72 gamma=90.00
Site moments in Bohr magnetons follow the coordinates.
Positions (direct):
Re (0.593, 0.125, 0.250)  0.01
Re (0.157, 0.625, 0.250)  0.01
Re (0.875, 0.843, 0.750)  0.01
Re (0.375, 0.407, 0.750)  0.01
V (0.250, 0.750, 0.500)  0.77
V (0.500, 0.500, 0.000)  0.77
Ir (0.750, 0.250, 0.500)  -0.01
Ir (0.000, 0.000, 0.000)  -0.01

---

It is arrangement a that is the most stable of them.

---

Arrangement a

A geometry-optimized ReIr2W structure, computed with PBE.

Computed properties:
The crystal system is tetragonal. For the density of states at the Fermi level, the calculation gives 0.7552 states/eV per atom. As for the total magnetic moment: 0.00 μB/cell.

Unit cell a=4.767 b=4.767 c=4.767 alpha=131.31 beta=131.31 gamma=71.32
Positions (direct):
Ir (0.750, 0.250, 0.500)
Ir (0.000, 0.000, 0.000)
Re (0.500, 0.500, 0.000)
W (0.250, 0.750, 0.500)

---

Arrangement b

A geometry-optimized ReIr2W structure, computed with PBE.

Computed properties:
The crystal system is tetragonal. For the density of states at the Fermi level, the calculation gives 1.5505 states/eV per atom. As for the total magnetic moment: 0.00 μB/cell.

Unit cell a=3.355 b=3.355 c=5.469 alpha=90.00 beta=90.00 gamma=90.00
Positions (direct):
Re (0.500, 0.500, 0.250)
Ir (0.000, 0.000, 0.002)
Ir (0.000, 0.000, 0.498)
W (0.500, 0.500, 0.750)

---

It is arrangement a that is the most stable of them.

---

Arrangement a

A geometry-optimized ReIr2W structure, computed with PBE.

Computed properties:
The crystal system is orthorhombic. For the density of states at the Fermi level, the calculation gives 0.3281 states/eV per atom. As for the total magnetic moment: 0.00 μB/cell.

Unit cell a=4.436 b=2.761 c=4.853 alpha=90.00 beta=90.00 gamma=90.00
Positions (direct):
Ir (0.500, 0.125, 0.298)
Ir (0.000, 0.125, 0.957)
W (0.500, 0.625, 0.789)
Re (0.000, 0.625, 0.456)

---

Arrangement b

A geometry-optimized ReIr2W structure, computed with PBE.

Computed properties:
The crystal system is tetragonal. For the density of states at the Fermi level, the calculation gives 0.5946 states/eV per atom. As for the total magnetic moment: 0.00 μB/cell.

Unit cell a=2.760 b=2.760 c=7.932 alpha=90.00 beta=90.00 gamma=90.01
Positions (direct):
Ir (0.500, 0.500, 0.258)
Ir (0.000, 0.000, 0.994)
W (0.500, 0.500, 0.759)
Re (0.000, 0.000, 0.488)

---

Arrangement c

A geometry-optimized ReIr2W structure, computed with PBE.

Computed properties:
The crystal system is monoclinic. For the density of states at the Fermi level, the calculation gives 0.9290 states/eV per atom. As for the total magnetic moment: 0.00 μB/cell.

Unit cell a=4.822 b=4.822 c=4.762 alpha=80.33 beta=80.33 gamma=33.35
Positions (direct):
Ir (0.001, 0.001, 0.997)
Ir (0.499, 0.499, 0.503)
Re (0.750, 0.750, 0.750)
W (0.250, 0.250, 0.250)

---

It is arrangement a that is the most stable of them.

---

Arrangement a

A geometry-optimized ReIr2W structure, computed with PBE.

Computed properties:
The crystal system is trigonal. For the density of states at the Fermi level, the calculation gives 0.8423 states/eV per atom. As for the total magnetic moment: 0.00 μB/cell.

Unit cell a=9.127 b=9.127 c=9.127 alpha=17.50 beta=17.50 gamma=17.50
Positions (direct):
W (0.750, 0.750, 0.750)
Re (0.250, 0.250, 0.250)
Ir (0.501, 0.501, 0.501)
Ir (0.999, 0.999, 0.999)

---

Arrangement b

A geometry-optimized ReIr2W structure, computed with PBE.

Computed properties:
The crystal system is monoclinic. For the density of states at the Fermi level, the calculation gives 0.6698 states/eV per atom. As for the total magnetic moment: 0.00 μB/cell.

Unit cell a=4.806 b=5.540 c=5.540 alpha=59.51 beta=72.59 gamma=72.59
Positions (direct):
Ir (0.251, 0.624, 0.127)
Ir (0.749, 0.873, 0.376)
Ir (0.749, 0.376, 0.873)
Ir (0.251, 0.127, 0.624)
Re (0.749, 0.375, 0.375)
Re (0.251, 0.625, 0.625)
W (0.760, 0.870, 0.870)
W (0.240, 0.130, 0.130)

---

Arrangement c

A geometry-optimized ReIr2W structure, computed with PBE.

Computed properties:
The crystal system is monoclinic. For the density of states at the Fermi level, the calculation gives 0.7491 states/eV per atom. As for the total magnetic moment: 0.00 μB/cell.

Unit cell a=4.777 b=4.777 c=4.832 alpha=80.47 beta=80.47 gamma=33.55
Positions (direct):
Ir (0.754, 0.754, 0.733)
Ir (0.997, 0.997, 0.010)
W (0.250, 0.250, 0.237)
Re (0.499, 0.499, 0.519)

---

Arrangement d

A geometry-optimized ReIr2W structure, computed with PBE.

Computed properties:
The crystal system is tetragonal. For the density of states at the Fermi level, the calculation gives 1.0360 states/eV per atom. As for the total magnetic moment: 0.00 μB/cell.

Unit cell a=3.818 b=3.818 c=9.429 alpha=78.32 beta=78.32 gamma=90.00
Positions (direct):
Ir (0.375, 0.371, 0.750)
Ir (0.121, 0.625, 0.250)
Ir (0.875, 0.879, 0.750)
Ir (0.629, 0.125, 0.250)
W (0.500, 0.500, 0.000)
W (0.250, 0.750, 0.500)
Re (0.000, 0.000, 0.000)
Re (0.750, 0.250, 0.500)

---

It is arrangement b that is the most stable of them.